A plane-wave DFT calculation with GGA+U was carried out for crystalline Li7Mn2Co3O12 at its relaxed geometry.

Cell lengths 7.573, 7.573, 11.721 Å; angles 55.57, 55.57, 22.10 degrees
Last column: magnetic moment on the atom in μB.
Element x y z (fractional)
Co1 0.000 0.000 0.497  0.02
Co2 0.333 0.333 0.503  0.02
Co3 0.673 0.673 0.998  1.31
O1 0.842 0.842 0.606  0.00
O2 0.171 0.171 0.619  -0.01
O3 0.161 0.161 0.381  -0.01
O4 0.846 0.846 0.119  0.03
O5 0.826 0.826 0.395  -0.05
O6 0.502 0.502 0.888  -0.07
O7 0.491 0.491 0.394  0.00
O8 0.820 0.820 0.882  0.05
O9 0.507 0.507 0.606  -0.05
O10 0.509 0.509 0.107  -0.07
O11 0.165 0.165 0.111  -0.06
O12 0.161 0.161 0.891  -0.07
Li1 0.331 0.331 0.001  0.01
Li2 0.331 0.331 0.759  0.00
Li3 0.669 0.669 0.749  0.01
Li4 0.679 0.679 0.235  0.00
Li5 0.987 0.987 0.764  0.00
Li6 0.001 0.001 0.254  0.00
Li7 0.332 0.332 0.242  0.01
Mn1 0.996 0.996 0.002  3.09
Mn2 0.666 0.666 0.500  3.74

Calculated values
Density: 4.236 g cm⁻³
Raw total energy: -5.8620 eV per atom
Excess energy over the best structure of this formula in the dataset: 0.84 eV/f.u.
Magnetization: 8.0 μB per formula unit